(1)
The following is a PBE calculation of KHoSe2O6 after structural relaxation, from Alexandria via LeMat-Bulk.

The total magnetization is 0.0000 μB per atom. Its uncorrected formation energy is -17.5 eV per formula unit.

```
10
Lattice="5.643 0.000 0.000 2.822 4.887 0.000 2.822 1.629 6.275" Properties=species:S:1:pos:R:3 pbc="T T T"
Se 2.822 1.629 1.139
Se 8.465 4.887 5.136
O 7.444 2.841 1.822
O 4.382 1.908 1.822
O 5.105 5.026 1.822
O 3.843 3.676 4.453
O 6.905 4.609 4.453
O 6.182 1.490 4.453
K 0.000 0.000 0.000
Ho 5.643 3.258 3.137
```

=====

(2)
The following is a PBE calculation of Sr2TaWN5 after structural relaxation, from Alexandria via LeMat-Bulk.

The total magnetization is 0.0000 μB per atom. Its uncorrected formation energy is -8.2 eV per formula unit.

```
18
Lattice="-1.796 -2.815 -0.238 6.898 -2.212 -2.343 2.722 -2.622 10.491" Properties=species:S:1:pos:R:3 pbc="T T T"
N 5.221 -3.781 5.335
N 0.492 -0.317 0.037
N -0.084 -2.187 2.961
N 4.100 -2.477 -1.643
N 2.382 -3.879 4.379
N 8.148 -5.693 5.875
N 6.083 -6.129 3.060
N 3.689 -5.054 8.407
N 2.026 -3.313 0.354
N 4.934 -3.365 2.580
W 2.322 -4.269 9.438
W 6.521 -4.362 2.399
Sr 2.553 -1.856 2.692
Sr 5.664 -6.172 6.733
Sr 3.116 -2.535 6.478
Sr 4.263 -4.686 -0.284
Ta 3.948 -4.858 4.133
Ta 2.720 -1.677 -0.680
```